A relaxed LaTc2BPt crystal. Source: Alexandria via LeMat-Bulk, functional PBE.

The structure in POSCAR format:
```
LaTc2BPt
1.0
4.909 0.000 0.000
0.000 5.193 0.000
0.000 0.000 4.909
B Tc La Pt
1 2 1 1
Direct
0.500 0.500 0.500 B
0.500 0.000 0.000 Tc
0.000 0.000 0.500 Tc
0.000 0.000 0.000 La
0.000 0.500 0.000 Pt
```

Results
The space group is P4/mmm, No. 123.

A relaxed BePtRh2 crystal. Source: Alexandria via LeMat-Bulk, functional PBE.

The structure in POSCAR format:
```
BePtRh2
1.0
5.176 0.000 -0.017
0.000 8.661 0.000
-2.134 0.000 4.683
Rh Pt Be
8 4 4
Direct
0.247 0.500 0.260 Rh
0.247 0.000 0.760 Rh
0.753 0.000 0.240 Rh
0.753 0.500 0.740 Rh
0.000 0.716 0.500 Rh
0.000 0.284 0.500 Rh
0.000 0.216 0.000 Rh
0.000 0.784 0.000 Rh
0.500 0.708 0.000 Pt
0.500 0.208 0.500 Pt
0.500 0.792 0.500 Pt
0.500 0.292 0.000 Pt
0.229 0.500 0.758 Be
0.229 0.000 0.258 Be
0.771 0.500 0.242 Be
0.771 0.000 0.742 Be
```

Results
The space group is C2/m, No. 12.

A relaxed LaYGaNi crystal. Source: Alexandria via LeMat-Bulk, functional PBE.

The structure in POSCAR format:
```
LaYGaNi
1.0
5.086 0.000 0.000
2.543 4.404 0.000
2.543 1.468 4.153
Ni Y Ga La
1 1 1 1
Direct
0.000 0.000 0.000 Ni
0.750 0.750 0.750 Y
0.500 0.500 0.500 Ga
0.250 0.250 0.250 La
```

Results
The space group is F-43m, No. 216.

A relaxed Ac2AgGe3Au4 crystal. Source: Alexandria via LeMat-Bulk, functional PBE.

The structure in POSCAR format:
```
Ac2AgGe3Au4
1.0
4.613 0.000 0.000
0.000 4.613 0.000
0.000 0.000 10.720
Ac Ge Au Ag
2 3 4 1
Direct
0.500 0.000 0.246 Ac
0.000 0.500 0.754 Ac
0.500 0.000 0.872 Ge
0.000 0.000 0.500 Ge
0.000 0.500 0.128 Ge
0.000 0.000 0.000 Au
0.000 0.500 0.365 Au
0.500 0.500 0.000 Au
0.500 0.000 0.635 Au
0.500 0.500 0.500 Ag
```

Results
The space group is P-4m2, No. 115.

| no. | density of states at the Fermi level (states/eV per atom) | raw total energy (eV for the cell shown) | ρ (g cm⁻³) |
| --- | --- | --- | --- |
| 1 | 1.000 | -24.9 | 7.2 |
| 2 | 1.320 | -101.9 | 13.0 |
| 3 | 0.967 | -21.7 | 6.4 |
| 4 | 0.445 | -43.6 | 11.4 |